Below is crystalline MoPtPbF2 at its relaxed geometry, with properties calculated at the PBE+U level.

Summary:
E (hartree per atom): -0.1938

Cell lengths 4.152, 4.152, 5.750 Å; angles 90.00, 90.00, 90.00 degrees
Space group P4/mmm (No. 123)
Asymmetric unit:
Mo (0.000, 0.000, 0.000) [1 per cell]
Pt (0.000, 0.000, 0.500) [1 per cell]
Pb (0.500, 0.500, 0.500) [1 per cell]
F (0.000, 0.500, 0.000) [2 per cell]